1.
PBE Sn2BiPb6, relaxed; energy relative to the elements = 3.0 kJ/mol of atoms; DOS at the Fermi energy = 0.46 states/eV/atom; offset from the most stable computed form = 0.0 meV/atom
1.0
-2.529 2.057 -4.989
-5.547 2.042 -0.765
5.348 8.065 3.848
Pb Sn Bi
6 2 1
Cartesian
-3.293 5.825 -2.332
4.418 6.780 3.179
-1.521 8.670 -1.056
-1.207 3.494 -0.849
0.565 6.339 0.426
-7.146 5.384 -5.085
-5.062 3.149 -3.604
2.334 9.015 1.698
2.674 4.033 1.924

***

2.
PBE SnBiPb2, relaxed; energy relative to the elements = 4.0 kJ/mol of atoms; DOS at the Fermi energy = 0.53 states/eV/atom; offset from the most stable computed form = 0.0 meV/atom
1.0
-3.510 0.891 -3.264
1.286 -4.175 -2.523
-3.256 -2.678 2.771
Bi Pb Sn
1 2 1
Cartesian
-2.740 -2.981 -1.508
0.643 -2.087 -1.262
-1.628 -1.339 1.385
-1.755 0.446 -1.632

***

3.
PBE Sn3Bi2Pb4, relaxed; energy relative to the elements = 4.6 kJ/mol of atoms; DOS at the Fermi energy = 0.46 states/eV/atom
1.0
3.400 0.000 0.728
1.578 5.834 0.935
-1.101 -1.759 13.450
Pb Bi Sn
4 2 3
Cartesian
0.657 3.167 5.238
3.221 0.908 9.875
3.017 3.030 2.518
0.861 1.046 12.594
2.811 3.896 11.787
1.066 0.180 3.325
0.000 0.000 0.000
1.743 3.681 8.472
2.135 0.394 6.641

***

4.
PBE Sn2Bi4Pb5, relaxed; energy relative to the elements = 9.1 kJ/mol of atoms; DOS at the Fermi energy = 0.51 states/eV/atom; offset from the most stable computed form = 0.0 meV/atom
1.0
5.480 0.000 -1.565
0.060 9.217 0.210
-0.742 0.891 7.778
Bi Pb Sn
4 5 2
Cartesian
1.118 2.186 3.913
3.680 7.922 2.510
0.164 2.635 0.575
4.634 7.473 5.848
4.024 4.846 3.711
0.604 8.852 2.115
4.194 1.257 4.308
0.774 5.262 2.711
2.740 0.000 -0.783
1.786 4.236 6.254
3.012 5.873 0.169

***

5.
PBE Sn2BiPb4, relaxed; energy relative to the elements = 10.1 kJ/mol of atoms; DOS at the Fermi energy = 0.77 states/eV/atom; offset from the most stable computed form = 0.0 meV/atom
1.0
6.682 -0.069 0.000
-3.277 5.823 0.000
-1.702 -2.877 5.786
Pb Sn Bi
4 2 1
Cartesian
-2.834 1.677 5.785
0.000 0.000 2.493
4.536 1.200 0.000
1.702 2.877 3.293
3.341 -0.034 2.893
-1.639 2.912 2.893
1.702 2.877 0.000

***

6.
PBE Sn2Bi2Pb, relaxed; energy relative to the elements = 7.1 kJ/mol of atoms; DOS at the Fermi energy = 0.52 states/eV/atom; offset from the most stable computed form = 19.4 meV/atom
1.0
8.925 -1.435 0.087
-3.257 8.432 0.087
-2.335 -2.883 4.310
Bi Pb Sn
4 2 4
Cartesian
5.445 0.190 1.164
-2.112 3.924 3.319
0.580 4.131 1.164
2.753 -0.016 3.319
-2.296 6.460 1.164
5.628 -2.345 3.319
1.189 2.815 4.354
3.674 3.189 2.199
-0.342 0.925 2.284
2.143 1.299 0.129

***

7.
PBE SnBi3Pb4, relaxed; energy relative to the elements = 5.4 kJ/mol of atoms; DOS at the Fermi energy = 0.61 states/eV/atom; offset from the most stable computed form = 24.6 meV/atom
1.0
3.363 -0.080 -0.863
-0.117 5.990 -1.014
-2.141 -0.872 13.306
Pb Bi Sn
4 3 1
Cartesian
2.352 3.433 1.806
-1.247 1.605 9.623
-0.257 1.042 6.184
1.362 3.996 5.245
1.681 -0.040 -0.431
0.547 0.514 2.975
0.557 4.524 8.454
-0.058 2.995 -0.507

***

8.
PBE SnBiPb4, relaxed; energy relative to the elements = 11.4 kJ/mol of atoms; DOS at the Fermi energy = 0.50 states/eV/atom; offset from the most stable computed form = 76.7 meV/atom
1.0
6.641 -0.193 0.000
-3.554 6.814 0.000
0.000 0.000 9.688
Pb Sn Bi
8 2 2
Cartesian
3.278 4.913 4.842
3.278 4.913 0.002
-0.192 1.708 9.686
-0.192 1.708 4.846
1.266 6.650 2.422
1.433 3.386 7.266
1.653 3.235 2.422
1.820 -0.029 7.266
1.621 -0.037 2.422
1.465 6.658 7.266
4.761 3.141 7.266
-1.675 3.480 2.422

***

9.
PBE Sn2Bi3Pb3, relaxed; energy relative to the elements = 7.2 kJ/mol of atoms; DOS at the Fermi energy = 0.41 states/eV/atom
1.0
-4.172 4.238 -3.625
2.973 -6.288 0.363
-15.186 -6.618 9.741
Bi Pb Sn
6 6 4
Cartesian
-2.858 -4.945 1.663
-13.155 -0.271 2.511
-17.346 -2.097 5.199
-3.230 -8.397 3.969
-13.527 -3.723 4.817
0.961 -6.571 1.281
-16.168 -6.164 7.321
-0.217 -2.504 -0.842
-4.556 -2.444 0.715
-6.850 -5.395 3.413
-9.534 -3.273 3.066
-11.829 -6.224 5.764
-4.222 0.651 -1.352
-8.405 -7.681 5.421
-7.979 -0.987 1.058
-12.163 -9.319 7.832

***

10.
PBE SnBi2Pb8, relaxed; energy relative to the elements = 8.1 kJ/mol of atoms; DOS at the Fermi energy = 0.61 states/eV/atom; offset from the most stable computed form = 42.4 meV/atom
1.0
-4.289 3.726 2.646
-9.066 -2.978 -2.145
-7.189 -5.233 4.075
Bi Pb Sn
2 8 1
Cartesian
-5.035 0.683 1.768
-15.509 -5.168 2.808
-13.300 -2.691 3.039
-9.575 -1.211 4.248
-10.969 -3.274 0.328
-12.473 -6.039 1.576
-10.082 -4.339 3.267
-10.462 -0.146 1.309
-8.071 1.554 3.000
-7.244 -1.794 1.536
0.000 0.000 0.000

***

11.
PBE Sn3BiPb3, relaxed; energy relative to the elements = 11.0 kJ/mol of atoms; DOS at the Fermi energy = 0.67 states/eV/atom; offset from the most stable computed form = 69.3 meV/atom
1.0
-5.428 1.209 -2.912
-1.824 -2.617 5.407
1.984 5.691 1.757
Pb Bi Sn
3 1 3
Cartesian
-3.564 0.299 1.681
-2.209 3.254 0.383
-0.927 1.894 3.343
-0.207 0.168 0.167
-4.339 5.448 1.658
-2.651 3.656 5.556
-6.123 1.556 3.368

***

12.
PBE Sn2Bi2Pb, relaxed; energy relative to the elements = 9.4 kJ/mol of atoms; DOS at the Fermi energy = 0.57 states/eV/atom; offset from the most stable computed form = 42.9 meV/atom
1.0
-2.759 0.424 3.363
2.372 -2.855 2.307
4.486 5.128 5.874
Bi Pb Sn
2 1 2
Cartesian
3.387 2.684 8.121
0.713 0.013 3.423
0.000 0.000 0.000
3.332 0.529 5.508
0.767 2.168 6.036